# Li3Fe3CuO8 (PBE+U, optimized geometry)
data_Li3Fe3CuO8
_chemical_formula_sum 'Li9 Fe9 Cu3 O24'
_space_group_name_H-M_alt 'R -3 m'
_space_group_IT_number 166
_space_group_name_Hall '-R 3 2"'
_cell_length_a 5.9327
_cell_length_b 5.9327
_cell_length_c 14.6562
_cell_angle_alpha 90.00
_cell_angle_beta 90.00
_cell_angle_gamma 120.00
loop_
_atom_site_label
_atom_site_fract_x
_atom_site_fract_y
_atom_site_fract_z
Li1 0.0000 0.5000 0.0000
Fe1 0.0000 0.5000 0.5000
Cu1 0.0000 0.0000 0.5000
O1 0.0000 0.0000 0.2427
O2 0.0134 0.5067 0.2402
# E = -5.84 eV/atom
# Size of the total moment = 15.8 μB per formula unit